No. 1
# Ag5SbS6 PBE optimized geometry
# Size of the total moment = 0.00 Bohr magnetons per cell
# Raw formation energy = -0.6 kcal/mol of atoms
# Density = 5982 kg/m³
data_Ag5SbS6
_cell_length_a 6.7561
_cell_length_b 11.3154
_cell_length_c 6.6562
_cell_angle_alpha 90.00
_cell_angle_beta 111.38
_cell_angle_gamma 90.00
_space_group_name_H-M_alt 'C 1 2/m 1'
_space_group_IT_number 12
loop_
_space_group_symop_operation_xyz
'x,y,z'
'-x,-y,-z'
'-x,y,-z'
'x,-y,z'
'x+1/2,y+1/2,z'
'-x+1/2,-y+1/2,-z'
'-x+1/2,y+1/2,-z'
'x+1/2,-y+1/2,z'
loop_
_atom_site_label
_atom_site_fract_x
_atom_site_fract_y
_atom_site_fract_z
Ag1 0.0000 0.0000 0.0000
Ag2 0.0000 0.1728 0.5000
Ag3 0.0000 0.3457 0.0000
Sb1 0.0000 0.5000 0.5000
S1 0.2197 0.3398 0.7623
S2 0.2384 0.0000 0.7068


No. 2
# AgSb2S4 PBE optimized geometry
# Size of the total moment = 0.00 Bohr magnetons per cell
# Raw formation energy = -3.3 kcal/mol of atoms
# Density = 4582 kg/m³
# Polymorph energy (0 for the lowest one) = 0 meV per atom
data_AgSb2S4
_cell_length_a 13.6228
_cell_length_b 7.9064
_cell_length_c 13.6613
_cell_angle_alpha 90.00
_cell_angle_beta 109.08
_cell_angle_gamma 90.00
_space_group_name_H-M_alt 'C 1 2/c 1'
_space_group_IT_number 15
loop_
_space_group_symop_operation_xyz
'x,y,z'
'-x,-y,-z'
'-x,y,-z+1/2'
'x,-y,z+1/2'
'x+1/2,y+1/2,z'
'-x+1/2,-y+1/2,-z'
'-x+1/2,y+1/2,-z+1/2'
'x+1/2,-y+1/2,z+1/2'
loop_
_atom_site_label
_atom_site_fract_x
_atom_site_fract_y
_atom_site_fract_z
Ag1 0.1871 0.2438 0.3124
Sb1 0.0000 0.0000 0.0000
Sb2 0.0000 0.2589 0.7500
Sb3 0.0000 0.5000 0.0000
Sb4 0.2500 0.2500 0.0000
S1 0.1166 0.2599 0.6195
S2 0.1180 0.0226 0.8696
S3 0.1189 0.2586 0.1169
S4 0.1257 0.4969 0.3882


No. 3
# Ag5SbS3 PBE optimized geometry
# Size of the total moment = 0.00 Bohr magnetons per cell
# Raw formation energy = 1.3 kcal/mol of atoms
# Density = 6127 kg/m³
data_Ag5SbS3
_cell_length_a 11.6533
_cell_length_b 7.8137
_cell_length_c 9.9745
_cell_angle_alpha 90.00
_cell_angle_beta 115.33
_cell_angle_gamma 90.00
_space_group_name_H-M_alt 'C 1 2/m 1'
_space_group_IT_number 12
loop_
_space_group_symop_operation_xyz
'x,y,z'
'-x,-y,-z'
'-x,y,-z'
'x,-y,z'
'x+1/2,y+1/2,z'
'-x+1/2,-y+1/2,-z'
'-x+1/2,y+1/2,-z'
'x+1/2,-y+1/2,z'
loop_
_atom_site_label
_atom_site_fract_x
_atom_site_fract_y
_atom_site_fract_z
Ag1 0.0000 0.1838 0.0000
Ag2 0.0933 0.0000 0.3698
Ag3 0.1873 0.2750 0.5996
Ag4 0.2186 0.5000 0.0000
Sb1 0.1381 0.5000 0.3346
S1 0.0000 0.5000 0.0000
S2 0.0000 0.5000 0.5000
S3 0.1435 0.0000 0.7180
S4 0.1873 0.0000 0.1758


No. 4
# ScAg2SbS4 PBE optimized geometry
# Size of the total moment = 0.00 Bohr magnetons per cell
# Raw formation energy = -13.6 kcal/mol of atoms
# Density = 4244 kg/m³
data_ScAg2SbS4
_cell_length_a 5.5891
_cell_length_b 5.8507
_cell_length_c 6.8926
_cell_angle_alpha 108.21
_cell_angle_beta 109.63
_cell_angle_gamma 90.89
_space_group_name_H-M_alt 'P 1'
_space_group_IT_number 1
loop_
_space_group_symop_operation_xyz
'x,y,z'
loop_
_atom_site_label
_atom_site_fract_x
_atom_site_fract_y
_atom_site_fract_z
Sc1 0.0000 0.0000 0.0000
Ag1 0.2372 0.7818 0.5030
Ag2 0.4963 0.4434 0.9869
Sb1 0.7750 0.2637 0.4669
S1 0.1512 0.6647 0.8021
S2 0.3313 0.3516 0.2664
S3 0.6360 0.1112 0.7230
S4 0.8264 0.8414 0.2270